## DyMgScNi (PBE)

Data for DyMgScNi after structural relaxation.

V in Å³ per cell: 83.26
Energy of formation in meV per atom: -117.5
Space-group type: F-43m, No. 216
Spin magnetization in μB/f.u.: 0.00
Crystal system: cubic

a b c (Å): 4.9013 4.9013 4.9013
angles (deg): 60.00 60.00 60.00
Closest atoms and distances in Å follow each position.
Positions (direct):
1 Dy 0.0000 0.0000 0.0000  4 Ni 3.00, 4 Mg 3.00
2 Mg 0.2500 0.2500 0.2500  4 Dy 3.00, 4 Sc 3.00
3 Sc 0.5000 0.5000 0.5000  4 Ni 3.00, 4 Mg 3.00
4 Ni 0.7500 0.7500 0.7500  4 Sc 3.00, 4 Dy 3.00